(1)
A geometry-optimized TeSe2 structure. Source: Alexandria, functional PBE.

Cell lengths 5.334, 5.334, 5.683 Å; angles 90.00, 90.00, 120.00 degrees
Atoms (fractional coordinates):
Te (0.667, 0.333, 0.250)
Te (0.333, 0.667, 0.750)
Se (0.000, 0.000, 0.000)
Se (0.000, 0.000, 0.500)
Se (0.333, 0.667, 0.250)
Se (0.667, 0.333, 0.750)

Calculated values
Offset from the most stable computed form (meV per atom): 418
Formation energy without anion corrections (eV per atom): 0.403
Symmetry: No. 194
Size of the total moment (μB per formula unit): 0.0
E_tot (Ry/atom): -0.218



(2)
A geometry-optimized Sr2SmCd6 structure. Source: Alexandria, functional PBE.

Cell lengths 3.666, 8.879, 8.879 Å; angles 60.00, 89.97, 89.97 degrees
Atoms (fractional coordinates):
Sr (0.000, 0.333, 0.333)
Sr (0.000, 0.667, 0.667)
Sm (0.000, 0.000, 0.000)
Cd (0.499, 0.670, 0.000)
Cd (0.501, 0.000, 0.330)
Cd (0.501, 0.330, 0.000)
Cd (0.500, 0.670, 0.330)
Cd (0.499, 0.000, 0.670)
Cd (0.500, 0.330, 0.670)

Calculated values
Symmetry: No. 191
E_form (meV/atom): -312
Size of the total moment (μB per formula unit): 0.0
E_tot (Ry/atom): -0.134



(3)
A geometry-optimized SiOs2Pt structure. Source: Alexandria, functional PBE.

Cell lengths 7.559, 4.232, 7.595 Å; angles 90.00, 97.48, 90.00 degrees
Atoms (fractional coordinates):
Si (0.330, 0.000, 0.886)
Si (0.670, 0.000, 0.114)
Si (0.330, 0.500, 0.386)
Si (0.670, 0.500, 0.614)
Os (0.999, 0.000, 0.836)
Os (0.001, 0.000, 0.164)
Os (0.999, 0.500, 0.336)
Os (0.001, 0.500, 0.664)
Os (0.167, 0.000, 0.529)
Os (0.833, 0.000, 0.471)
Os (0.167, 0.500, 0.029)
Os (0.833, 0.500, 0.971)
Pt (0.375, 0.000, 0.212)
Pt (0.625, 0.000, 0.788)
Pt (0.375, 0.500, 0.712)
Pt (0.625, 0.500, 0.288)

Calculated values
Formation energy without anion corrections (eV per atom): -0.103
Symmetry: No. 12
Size of the total moment (μB per formula unit): 0.0
E_tot (Ry/atom): -0.631



(4)
A geometry-optimized LaPmEr2As4 structure. Source: Alexandria, functional PBE.

Cell lengths 4.200, 7.258, 7.271 Å; angles 70.52, 90.00, 90.00 degrees
Atoms (fractional coordinates):
La (0.500, 0.500, 0.000)
Pm (0.000, 0.500, 0.500)
Er (0.000, 0.000, 0.000)
Er (0.500, 0.000, 0.500)
As (0.000, 0.764, 0.743)
As (0.000, 0.236, 0.257)
As (0.500, 0.762, 0.249)
As (0.500, 0.238, 0.751)

Calculated values
Symmetry: No. 10
E_form (meV/atom): -1523
Size of the total moment (μB per formula unit): 0.0
E_tot (Ry/atom): -0.456



(5)
A geometry-optimized RbCrSiSe4 structure. Source: Alexandria, functional PBE.

Cell lengths 6.420, 7.019, 10.376 Å; angles 90.00, 122.78, 90.00 degrees
Atoms (fractional coordinates):
Rb (0.667, 0.750, 0.937)
Rb (0.333, 0.250, 0.063)
Cr (0.786, 0.750, 0.452)
Cr (0.214, 0.250, 0.548)
Si (0.199, 0.750, 0.353)
Si (0.801, 0.250, 0.647)
Se (0.075, 0.491, 0.678)
Se (0.925, 0.991, 0.322)
Se (0.925, 0.509, 0.322)
Se (0.075, 0.009, 0.678)
Se (0.341, 0.750, 0.195)
Se (0.659, 0.250, 0.805)
Se (0.554, 0.750, 0.584)
Se (0.446, 0.250, 0.416)

Calculated values
Formation energy without anion corrections (eV per atom): -0.603
Symmetry: No. 11
Size of the total moment (μB per formula unit): 3.0
E_tot (Ry/atom): -0.359



(6)
A geometry-optimized NaFeCuPd2 structure. Source: Alexandria, functional PBE.

Cell lengths 4.628, 4.949, 4.628 Å; angles 90.00, 90.00, 90.00 degrees
Atoms (fractional coordinates):
Na (0.000, 0.500, 0.000)
Cu (0.500, 0.500, 0.500)
Pd (0.000, 0.000, 0.500)
Pd (0.500, 0.000, 0.000)
Fe (0.000, 0.000, 0.000)

Calculated values
Symmetry: No. 123
E_form (meV/atom): 904
Size of the total moment (μB per formula unit): 3.8
E_tot (Ry/atom): -0.290



(7)
A geometry-optimized RbTbAg2Br6 structure. Source: Alexandria, functional PBE.

Cell lengths 7.488, 7.487, 8.114 Å; angles 62.55, 62.54, 60.00 degrees
Atoms (fractional coordinates):
Rb (0.802, 0.802, 0.595)
Tb (0.328, 0.328, 0.017)
Ag (0.517, 0.517, 0.449)
Ag (0.997, 0.997, 0.009)
Br (0.582, 0.263, 0.229)
Br (0.263, 0.926, 0.229)
Br (0.926, 0.582, 0.229)
Br (0.331, 0.738, 0.753)
Br (0.738, 0.178, 0.752)
Br (0.178, 0.331, 0.753)

Calculated values
Formation energy without anion corrections (eV per atom): -1.217
Symmetry: No. 146
Size of the total moment (μB per formula unit): 0.0
E_tot (Ry/atom): -0.246



(8)
A geometry-optimized Ac2Pr3Y5 structure. Source: Alexandria, functional PBE.

Cell lengths 11.627, 10.042, 12.412 Å; angles 132.51, 134.64, 54.62 degrees
Atoms (fractional coordinates):
Ac (0.847, 0.860, 0.707)
Ac (0.153, 0.140, 0.293)
Ac (0.359, 0.847, 0.707)
Ac (0.641, 0.153, 0.293)
Pr (0.249, 0.999, 0.998)
Pr (0.751, 0.001, 0.002)
Pr (0.723, 0.436, 0.253)
Pr (0.277, 0.564, 0.747)
Pr (0.030, 0.817, 0.253)
Pr (0.970, 0.183, 0.747)
Y (0.250, 0.500, 0.999)
Y (0.750, 0.500, 0.001)
Y (0.965, 0.715, 0.431)
Y (0.536, 0.286, 0.572)
Y (0.035, 0.285, 0.569)
Y (0.464, 0.714, 0.428)
Y (0.777, 0.561, 0.741)
Y (0.223, 0.439, 0.259)
Y (0.464, 0.179, 0.741)
Y (0.536, 0.821, 0.259)

Calculated values
Symmetry: No. 15
E_form (meV/atom): 205
Size of the total moment (μB per formula unit): 0.0
E_tot (Ry/atom): -0.388



(9)
A geometry-optimized Al7Ag structure. Source: Alexandria, functional PBE.

Cell lengths 4.979, 6.382, 4.979 Å; angles 75.86, 110.38, 75.86 degrees
Atoms (fractional coordinates):
Ag (0.000, 0.000, 0.000)
Al (0.373, 0.252, 0.874)
Al (0.749, 0.502, 0.749)
Al (0.126, 0.748, 0.627)
Al (0.500, 0.000, 0.500)
Al (0.874, 0.252, 0.373)
Al (0.251, 0.498, 0.251)
Al (0.627, 0.748, 0.126)

Calculated values
Offset from the most stable computed form (meV per atom): 12
Symmetry: No. 12
E_form (meV/atom): 0
Size of the total moment (μB per formula unit): 0.0
E_tot (Ry/atom): -0.267



(10)
A geometry-optimized YZrIn2 structure. Source: Alexandria, functional PBE.

Cell lengths 3.543, 4.522, 6.365 Å; angles 90.00, 90.00, 90.00 degrees
Atoms (fractional coordinates):
In (0.000, 0.000, 0.983)
In (0.500, 0.500, 0.257)
Y (0.000, 0.000, 0.496)
Zr (0.500, 0.500, 0.764)

Calculated values
Symmetry: No. 25
E_form (meV/atom): -136
Size of the total moment (μB per formula unit): 0.0
E_tot (Ry/atom): -0.387



(11)
A geometry-optimized InPb2AuO5 structure. Source: Alexandria, functional PBE.

Cell lengths 3.449, 7.605, 11.358 Å; angles 90.00, 90.00, 103.11 degrees
Atoms (fractional coordinates):
In (0.745, 0.489, 0.495)
In (0.255, 0.511, 0.995)
Pb (0.858, 0.716, 0.731)
Pb (0.113, 0.226, 0.711)
Pb (0.142, 0.284, 0.231)
Pb (0.887, 0.774, 0.211)
Au (0.532, 0.064, 0.940)
Au (0.468, 0.936, 0.440)
O (0.384, 0.767, 0.079)
O (0.763, 0.526, 0.883)
O (0.443, 0.885, 0.790)
O (0.264, 0.529, 0.659)
O (0.888, 0.776, 0.537)
O (0.616, 0.233, 0.579)
O (0.237, 0.474, 0.383)
O (0.557, 0.115, 0.290)
O (0.736, 0.471, 0.159)
O (0.112, 0.224, 0.037)

Calculated values
Formation energy without anion corrections (eV per atom): -0.808
Symmetry: No. 36
Size of the total moment (μB per formula unit): 0.0
E_tot (Ry/atom): -0.372



(12)
A geometry-optimized Pr6Ag2Rh structure. Source: Alexandria, functional PBE.

Cell lengths 6.827, 7.739, 10.710 Å; angles 90.00, 91.39, 90.00 degrees
Atoms (fractional coordinates):
Pr (0.864, 0.973, 0.246)
Pr (0.828, 0.676, 0.557)
Pr (0.834, 0.694, 0.941)
Pr (0.666, 0.194, 0.559)
Pr (0.672, 0.176, 0.943)
Pr (0.636, 0.473, 0.254)
Pr (0.136, 0.027, 0.754)
Pr (0.172, 0.324, 0.443)
Pr (0.166, 0.306, 0.059)
Pr (0.334, 0.806, 0.441)
Pr (0.328, 0.824, 0.057)
Pr (0.364, 0.527, 0.746)
Ag (0.933, 0.393, 0.761)
Ag (0.567, 0.893, 0.739)
Ag (0.433, 0.107, 0.261)
Ag (0.067, 0.607, 0.239)
Rh (0.500, 0.500, 0.000)
Rh (0.000, 0.000, 0.500)

Calculated values
Offset from the most stable computed form (meV per atom): 0
Symmetry: No. 14
E_form (meV/atom): -210
Size of the total moment (μB per formula unit): 0.0
E_tot (Ry/atom): -0.356



(13)
A geometry-optimized Y2ErReO8 structure. Source: Alexandria, functional PBE.

Cell lengths 5.049, 5.048, 6.722 Å; angles 90.00, 90.00, 90.94 degrees
Atoms (fractional coordinates):
Y (0.500, 0.500, 0.748)
Y (0.500, 0.500, 0.252)
Er (0.000, 0.000, 0.500)
Re (0.000, 0.000, 0.000)
O (0.180, 0.820, 0.208)
O (0.731, 0.732, 0.000)
O (0.820, 0.180, 0.208)
O (0.820, 0.180, 0.792)
O (0.269, 0.268, 0.000)
O (0.180, 0.820, 0.792)
O (0.695, 0.696, 0.500)
O (0.305, 0.304, 0.500)

Calculated values
Formation energy without anion corrections (eV per atom): -2.783
Symmetry: No. 65
Size of the total moment (μB per formula unit): 0.0
E_tot (Ry/atom): -0.631



(14)
A geometry-optimized Mg2Bi2O5 structure. Source: Alexandria, functional PBE.

Cell lengths 4.062, 6.531, 10.716 Å; angles 90.00, 90.00, 90.00 degrees
Atoms (fractional coordinates):
Mg (0.500, 0.132, 0.402)
Mg (0.500, 0.868, 0.598)
Mg (0.500, 0.632, 0.098)
Mg (0.500, 0.368, 0.902)
Bi (0.000, 0.198, 0.122)
Bi (0.000, 0.802, 0.878)
Bi (0.000, 0.302, 0.622)
Bi (0.000, 0.698, 0.378)
O (0.000, 0.500, 0.000)
O (0.000, 0.222, 0.814)
O (0.000, 0.722, 0.686)
O (0.000, 0.278, 0.314)
O (0.500, 0.178, 0.601)
O (0.500, 0.822, 0.399)
O (0.000, 0.778, 0.186)
O (0.500, 0.322, 0.101)
O (0.000, 0.000, 0.500)
O (0.500, 0.678, 0.899)

Calculated values
Formation energy without anion corrections (eV per atom): -1.447
Symmetry: No. 55
Size of the total moment (μB per formula unit): 0.0
E_tot (Ry/atom): -0.398



(15)
A geometry-optimized FeCuTcNi structure. Source: Alexandria, functional PBE.

Cell lengths 4.120, 4.120, 4.120 Å; angles 60.00, 60.00, 60.00 degrees
Atoms (fractional coordinates):
Ni (0.000, 0.000, 0.000)
Tc (0.750, 0.750, 0.750)
Cu (0.250, 0.250, 0.250)
Fe (0.500, 0.500, 0.500)

Calculated values
Symmetry: No. 216
E_form (meV/atom): 220
Size of the total moment (μB per formula unit): 1.8
E_tot (Ry/atom): -0.511